[1]
A plane-wave DFT calculation with PBE-GGA was carried out for BaCd2I2 after structural relaxation.

Properties
Fermi-level density of states = 1.2 states/eV/f.u.
E_form (uncorrected) = -4.29 eV/f.u.

Geometry as CIF:
```
data_BaCd2I2
_symmetry_space_group_name_H-M 'I 4/m m m'
_symmetry_Int_Tables_number 139
_symmetry_space_group_name_Hall '-I 4 2'
_cell_length_a 4.279
_cell_length_b 4.279
_cell_length_c 21.937
_cell_angle_alpha 90.00
_cell_angle_beta 90.00
_cell_angle_gamma 90.00
loop_
_atom_site_label
_atom_site_type_symbol
_atom_site_fract_x
_atom_site_fract_y
_atom_site_fract_z
Ba1 Ba 0.000 0.000 0.000
Cd1 Cd 0.000 0.500 0.250
I1 I 0.000 0.000 0.410
```

[2]
A plane-wave DFT calculation with PBE-GGA was carried out for LiZn12Au7 after structural relaxation.

Properties
Fermi-level density of states = 6.1 states/eV/f.u.
formation enthalpy at 0 K = -161 meV per atom

Geometry as CIF:
```
data_LiZn12Au7
_symmetry_space_group_name_H-M 'R -3'
_symmetry_Int_Tables_number 148
_symmetry_space_group_name_Hall '-R 3'
_cell_length_a 11.7700
_cell_length_b 11.7700
_cell_length_c 8.2719
_cell_angle_alpha 90.00
_cell_angle_beta 90.00
_cell_angle_gamma 120.00
loop_
_atom_site_label
_atom_site_type_symbol
_atom_site_fract_x
_atom_site_fract_y
_atom_site_fract_z
Li1 Li 0.0000 0.0000 0.0000
Zn1 Zn 0.0518 0.2390 0.5835
Zn2 Zn 0.0554 0.2171 0.2484
Au1 Au 0.0000 0.0000 0.5000
Au2 Au 0.0529 0.2406 0.9168
```

[3]
A plane-wave DFT calculation with PBE-GGA was carried out for RbAlHg2Se4 after structural relaxation.

Properties
E_form (uncorrected) = -5.34 eV/f.u.

Geometry as CIF:
```
data_RbAlHg2Se4
_symmetry_space_group_name_H-M 'I 2 2 2'
_symmetry_Int_Tables_number 23
_symmetry_space_group_name_Hall 'I 2 2'
_cell_length_a 6.745
_cell_length_b 8.322
_cell_length_c 9.196
_cell_angle_alpha 90.00
_cell_angle_beta 90.00
_cell_angle_gamma 90.00
loop_
_atom_site_label
_atom_site_type_symbol
_atom_site_fract_x
_atom_site_fract_y
_atom_site_fract_z
Rb1 Rb 0.000 0.000 0.000
Al1 Al 0.000 0.000 0.500
Hg1 Hg 0.000 0.500 0.175
Se1 Se 0.199 0.177 0.348
```

[4]
A plane-wave DFT calculation with PBE-GGA was carried out for Sc3Tl3CrTe8 after structural relaxation.

Properties
Fermi-level density of states = 4.8 states/eV/f.u.
E_form (uncorrected) = -11.23 eV/f.u.

Geometry as CIF:
```
data_Sc3Tl3CrTe8
_symmetry_space_group_name_H-M 'C 1 2/m 1'
_symmetry_Int_Tables_number 12
_symmetry_space_group_name_Hall '-C 2y'
_cell_length_a 14.388
_cell_length_b 8.278
_cell_length_c 9.517
_cell_angle_alpha 90.00
_cell_angle_beta 120.33
_cell_angle_gamma 90.00
loop_
_atom_site_label
_atom_site_type_symbol
_atom_site_fract_x
_atom_site_fract_y
_atom_site_fract_z
Sc1 Sc 0.000 0.000 0.000
Sc2 Sc 0.250 0.250 0.000
Tl1 Tl 0.000 0.500 0.500
Tl2 Tl 0.250 0.250 0.500
Cr1 Cr 0.000 0.500 0.000
Te1 Te 0.015 0.261 0.804
Te2 Te 0.225 0.500 0.196
Te3 Te 0.235 0.000 0.206
```

[5]
A plane-wave DFT calculation with PBE-GGA was carried out for FeRhS after structural relaxation.

Properties
Fermi-level density of states = 2.7 states/eV/f.u.
E_form (uncorrected) = -0.20 eV/f.u.
energy above the lowest structure with this stoichiometry = 0.133 eV per atom

Geometry as CIF:
```
data_FeRhS
_symmetry_space_group_name_H-M 'C 1 m 1'
_symmetry_Int_Tables_number 8
_symmetry_space_group_name_Hall 'C -2y'
_cell_length_a 9.609
_cell_length_b 3.026
_cell_length_c 5.621
_cell_angle_alpha 90.00
_cell_angle_beta 96.52
_cell_angle_gamma 90.00
loop_
_atom_site_label
_atom_site_type_symbol
_atom_site_fract_x
_atom_site_fract_y
_atom_site_fract_z
Fe1 Fe 0.000 0.000 0.000
Fe2 Fe 0.156 0.000 0.651
Rh1 Rh 0.231 0.500 0.053
Rh2 Rh 0.403 0.000 0.397
S1 S 0.133 0.500 0.390
S2 S 0.371 0.000 0.799
```

[6]
A plane-wave DFT calculation with PBE-GGA was carried out for YbRh after structural relaxation.

Properties
Fermi-level density of states = 12.0 states/eV/f.u.
formation enthalpy at 0 K = -549 meV per atom

Geometry as CIF:
```
data_YbRh
_symmetry_space_group_name_H-M 'P m -3 m'
_symmetry_Int_Tables_number 221
_symmetry_space_group_name_Hall '-P 4 2 3'
_cell_length_a 3.397
_cell_length_b 3.397
_cell_length_c 3.397
_cell_angle_alpha 90.00
_cell_angle_beta 90.00
_cell_angle_gamma 90.00
loop_
_atom_site_label
_atom_site_type_symbol
_atom_site_fract_x
_atom_site_fract_y
_atom_site_fract_z
Yb1 Yb 0.000 0.000 0.000
Rh1 Rh 0.500 0.500 0.500
```

[7]
A plane-wave DFT calculation with PBE-GGA was carried out for TmHfMgAl after structural relaxation.

Properties
Fermi-level density of states = 3.0 states/eV/f.u.
formation enthalpy at 0 K = -117 meV per atom

Geometry as CIF:
```
data_TmHfMgAl
_symmetry_space_group_name_H-M 'F -4 3 m'
_symmetry_Int_Tables_number 216
_symmetry_space_group_name_Hall 'F -4 2 3'
_cell_length_a 7.014
_cell_length_b 7.014
_cell_length_c 7.014
_cell_angle_alpha 90.00
_cell_angle_beta 90.00
_cell_angle_gamma 90.00
loop_
_atom_site_label
_atom_site_type_symbol
_atom_site_fract_x
_atom_site_fract_y
_atom_site_fract_z
Tm1 Tm 0.000 0.000 0.000
Hf1 Hf 0.000 0.000 0.500
Mg1 Mg 0.250 0.250 0.750
Al1 Al 0.250 0.250 0.250
```

[8]
A plane-wave DFT calculation with PBE-GGA was carried out for LaCuH4Pd2 after structural relaxation.

Properties
Fermi-level density of states = 0.8 states/eV/f.u.
raw total energy = -4.449 eV per atom

Geometry as CIF:
```
data_LaCuH4Pd2
_symmetry_space_group_name_H-M 'I 2 2 2'
_symmetry_Int_Tables_number 23
_symmetry_space_group_name_Hall 'I 2 2'
_cell_length_a 4.846
_cell_length_b 5.393
_cell_length_c 6.974
_cell_angle_alpha 90.00
_cell_angle_beta 90.00
_cell_angle_gamma 90.00
loop_
_atom_site_label
_atom_site_type_symbol
_atom_site_fract_x
_atom_site_fract_y
_atom_site_fract_z
La1 La 0.000 0.000 0.000
Cu1 Cu 0.000 0.000 0.500
H1 H 0.181 0.180 0.679
Pd1 Pd 0.000 0.500 0.210
```

[9]
A plane-wave DFT calculation with PBE-GGA was carried out for Hf3ZrO after structural relaxation.

Properties
Fermi-level density of states = 3.0 states/eV/f.u.
E_form (uncorrected) = -5.32 eV/f.u.
energy above the lowest structure with this stoichiometry = 0.000 eV per atom

Geometry as CIF:
```
data_Hf3ZrO
_symmetry_space_group_name_H-M 'C 1 m 1'
_symmetry_Int_Tables_number 8
_symmetry_space_group_name_Hall 'C -2y'
_cell_length_a 10.301
_cell_length_b 6.457
_cell_length_c 5.631
_cell_angle_alpha 90.00
_cell_angle_beta 90.07
_cell_angle_gamma 90.00
loop_
_atom_site_label
_atom_site_type_symbol
_atom_site_fract_x
_atom_site_fract_y
_atom_site_fract_z
Hf1 Hf 0.000 0.000 0.000
Hf2 Hf 0.002 0.250 0.510
Hf3 Hf 0.251 0.251 0.834
Hf4 Hf 0.253 0.500 0.335
Zr1 Zr 0.003 0.500 0.002
Zr2 Zr 0.251 0.000 0.328
O1 O 0.124 0.500 0.659
O2 O 0.382 0.500 0.664
```

[10]
A plane-wave DFT calculation with PBE-GGA was carried out for Mg4Cd4Pd after structural relaxation.

Properties
Fermi-level density of states = 2.6 states/eV/f.u.
formation enthalpy at 0 K = -231 meV per atom

Geometry as CIF:
```
data_Mg4Cd4Pd
_symmetry_space_group_name_H-M 'I 4/m'
_symmetry_Int_Tables_number 87
_symmetry_space_group_name_Hall '-I 4'
_cell_length_a 10.660
_cell_length_b 10.660
_cell_length_c 3.255
_cell_angle_alpha 90.00
_cell_angle_beta 90.00
_cell_angle_gamma 90.00
loop_
_atom_site_label
_atom_site_type_symbol
_atom_site_fract_x
_atom_site_fract_y
_atom_site_fract_z
Mg1 Mg 0.129 0.833 0.000
Cd1 Cd 0.050 0.335 0.500
Pd1 Pd 0.000 0.000 0.500
```

[11]
A plane-wave DFT calculation with PBE-GGA was carried out for TlAgW2Au after structural relaxation.

Properties
Fermi-level density of states = 6.0 states/eV/f.u.
formation enthalpy at 0 K = 2454 meV per atom

Geometry as CIF:
```
data_TlAgW2Au
_symmetry_space_group_name_H-M 'P 4/m m m'
_symmetry_Int_Tables_number 123
_symmetry_space_group_name_Hall '-P 4 2'
_cell_length_a 4.971
_cell_length_b 4.971
_cell_length_c 5.014
_cell_angle_alpha 90.00
_cell_angle_beta 90.00
_cell_angle_gamma 90.00
loop_
_atom_site_label
_atom_site_type_symbol
_atom_site_fract_x
_atom_site_fract_y
_atom_site_fract_z
Tl1 Tl 0.000 0.000 0.000
Ag1 Ag 0.000 0.000 0.500
W1 W 0.000 0.500 0.500
Au1 Au 0.500 0.500 0.000
```

[12]
A plane-wave DFT calculation with PBE-GGA was carried out for TaTl2In after structural relaxation.

Properties
Fermi-level density of states = 2.8 states/eV/f.u.
formation enthalpy at 0 K = 481 meV per atom
energy above the lowest structure with this stoichiometry = 0.115 eV per atom

Geometry as CIF:
```
data_TaTl2In
_symmetry_space_group_name_H-M 'P 4/m m m'
_symmetry_Int_Tables_number 123
_symmetry_space_group_name_Hall '-P 4 2'
_cell_length_a 3.106
_cell_length_b 3.106
_cell_length_c 10.029
_cell_angle_alpha 90.00
_cell_angle_beta 90.00
_cell_angle_gamma 90.00
loop_
_atom_site_label
_atom_site_type_symbol
_atom_site_fract_x
_atom_site_fract_y
_atom_site_fract_z
Ta1 Ta 0.000 0.000 0.000
Tl1 Tl 0.500 0.500 0.226
In1 In 0.000 0.000 0.500
```